# 1
The following is a GGA-PBE calculation of a geometry-optimized HfSbPtI2 structure, from Alexandria via LeMat-Bulk.

```
data_HfSbPtI2
_chemical_formula_sum 'Hf1 Sb1 Pt1 I2'
_cell_length_a 5.4418
_cell_length_b 5.4418
_cell_length_c 5.7651
_cell_angle_alpha 90.00
_cell_angle_beta 90.00
_cell_angle_gamma 90.00
_space_group_name_H-M_alt 'P 1'
_space_group_IT_number 1
loop_
_space_group_symop_operation_xyz
'x,y,z'
loop_
_atom_site_label
_atom_site_type_symbol
_atom_site_fract_x
_atom_site_fract_y
_atom_site_fract_z
I1 I 0.0000 0.5000 0.0000
I2 I 0.5000 0.0000 0.0000
Sb1 Sb 0.0000 0.0000 0.5000
Hf1 Hf 0.0000 0.0000 0.0000
Pt1 Pt 0.5000 0.5000 0.5000
```

Total magnetization = 0.5 μB/f.u.
Space-group type = P4/mmm
DOS(E_F) = 7.47 states/eV per cell
DFT total energy = -20.0 eV/cell
Energy above the lowest structure with this stoichiometry = 0.0 meV per atom


# 2
The following is a GGA-PBE calculation of a geometry-optimized Nb4ZnGa structure, from Alexandria via LeMat-Bulk.

```
data_Nb4ZnGa
_chemical_formula_sum 'Nb8 Zn2 Ga2'
_cell_length_a 5.1746
_cell_length_b 6.3159
_cell_length_c 6.3159
_cell_angle_alpha 90.00
_cell_angle_beta 90.00
_cell_angle_gamma 90.00
_space_group_name_H-M_alt 'P 1'
_space_group_IT_number 1
loop_
_space_group_symop_operation_xyz
'x,y,z'
loop_
_atom_site_label
_atom_site_type_symbol
_atom_site_fract_x
_atom_site_fract_y
_atom_site_fract_z
Nb1 Nb 0.0000 0.1527 0.6551
Nb2 Nb 0.0000 0.8473 0.3449
Nb3 Nb 0.0000 0.3449 0.1527
Nb4 Nb 0.0000 0.6551 0.8473
Nb5 Nb 0.5000 0.8473 0.6551
Nb6 Nb 0.5000 0.1527 0.3449
Nb7 Nb 0.5000 0.6551 0.1527
Nb8 Nb 0.5000 0.3449 0.8473
Zn1 Zn 0.2500 0.0000 0.0000
Zn2 Zn 0.7500 0.0000 0.0000
Ga1 Ga 0.2500 0.5000 0.5000
Ga2 Ga 0.7500 0.5000 0.5000
```

Total magnetization = 0.0 μB/f.u.
Space-group type = P4/mcc
DOS(E_F) = 5.75 states/eV per cell
DFT total energy = -90.8 eV/cell


# 3
The following is a GGA-PBE calculation of a geometry-optimized Tm2MgZn3 structure, from Alexandria via LeMat-Bulk.

```
data_Tm2MgZn3
_chemical_formula_sum 'Tm4 Mg2 Zn6'
_cell_length_a 4.8409
_cell_length_b 4.8409
_cell_length_c 12.0243
_cell_angle_alpha 90.00
_cell_angle_beta 90.00
_cell_angle_gamma 120.00
_space_group_name_H-M_alt 'P 1'
_space_group_IT_number 1
loop_
_space_group_symop_operation_xyz
'x,y,z'
loop_
_atom_site_label
_atom_site_type_symbol
_atom_site_fract_x
_atom_site_fract_y
_atom_site_fract_z
Tm1 Tm 0.0000 0.0000 0.5000
Tm2 Tm 0.3333 0.6667 0.1760
Tm3 Tm 0.6667 0.3333 0.8240
Tm4 Tm 0.0000 0.0000 0.0000
Mg1 Mg 0.3333 0.6667 0.6626
Mg2 Mg 0.6667 0.3333 0.3374
Zn1 Zn 0.3333 0.6667 0.4192
Zn2 Zn 0.6667 0.3333 0.0847
Zn3 Zn 0.0000 0.0000 0.7453
Zn4 Zn 0.0000 0.0000 0.2547
Zn5 Zn 0.3333 0.6667 0.9153
Zn6 Zn 0.6667 0.3333 0.5808
```

Total magnetization = 0.0 μB/f.u.
Space-group type = P-3m1
DOS(E_F) = 7.26 states/eV per cell
DFT total energy = -32.6 eV/cell
Energy above the lowest structure with this stoichiometry = 0.0 meV per atom